Compound: SrLi2In
Source: the Alexandria database
Functional: PBEsol
Structure: optimized geometry

The structure in CIF format:
```
data_SrLi2In
_chemical_formula_sum 'Sr3 Li6 In3'
_space_group_name_H-M_alt 'R 3 m'
_space_group_IT_number 160
_space_group_name_Hall 'R 3 -2"'
_cell_length_a 4.8263
_cell_length_b 4.8263
_cell_length_c 16.5825
_cell_angle_alpha 90.00
_cell_angle_beta 90.00
_cell_angle_gamma 120.00
loop_
_atom_site_label
_atom_site_type_symbol
_atom_site_fract_x
_atom_site_fract_y
_atom_site_fract_z
Sr1 Sr 0.0000 0.0000 0.0000
Li1 Li 0.0000 0.0000 0.1926
Li2 Li 0.0000 0.0000 0.4889
In1 In 0.0000 0.0000 0.7951
```

Computed properties:
For the formation energy, the calculation gives -0.22 eV/atom. For the density of states at the Fermi level, the calculation gives 0.730 states/eV/atom. Its crystal system is trigonal.

Compound: SrLi3In
Source: the Alexandria database
Functional: PBEsol
Structure: optimized geometry

The structure in CIF format:
```
data_SrLi3In
_chemical_formula_sum 'Sr1 Li3 In1'
_space_group_name_H-M_alt 'P m -3 m'
_space_group_IT_number 221
_space_group_name_Hall '-P 4 2 3'
_cell_length_a 5.153
_cell_length_b 5.153
_cell_length_c 5.153
_cell_angle_alpha 90.00
_cell_angle_beta 90.00
_cell_angle_gamma 90.00
loop_
_atom_site_label
_atom_site_type_symbol
_atom_site_fract_x
_atom_site_fract_y
_atom_site_fract_z
Sr1 Sr 0.000 0.000 0.000
Li1 Li 0.000 0.500 0.500
In1 In 0.500 0.500 0.500
```

Computed properties:
For the formation energy, the calculation gives -0.08 eV/atom. For the density of states at the Fermi level, the calculation gives 0.476 states/eV/atom. Its crystal system is cubic.

Compound: SrLi2In
Source: the Alexandria database
Functional: PBEsol
Structure: optimized geometry

The structure in CIF format:
```
data_SrLi2In
_chemical_formula_sum 'Sr2 Li4 In2'
_space_group_name_H-M_alt 'I m m 2'
_space_group_IT_number 44
_cell_length_a 4.355
_cell_length_b 5.336
_cell_length_c 9.011
_cell_angle_alpha 90.00
_cell_angle_beta 90.00
_cell_angle_gamma 90.00
loop_
_space_group_symop_operation_xyz
'x,y,z'
'-x,-y,z'
'-x,y,z'
'x,-y,z'
'x+1/2,y+1/2,z+1/2'
'-x+1/2,-y+1/2,z+1/2'
'-x+1/2,y+1/2,z+1/2'
'x+1/2,-y+1/2,z+1/2'
loop_
_atom_site_label
_atom_site_type_symbol
_atom_site_fract_x
_atom_site_fract_y
_atom_site_fract_z
Sr1 Sr 0.000 0.000 0.000
Li1 Li 0.000 0.000 0.504
Li2 Li 0.000 0.500 0.220
In1 In 0.000 0.500 0.777
```

Computed properties:
For the formation energy, the calculation gives -0.18 eV/atom. For the density of states at the Fermi level, the calculation gives 0.531 states/eV/atom. Its crystal system is orthorhombic.

Compound: Sr2LiIn
Source: the Alexandria database
Functional: PBEsol
Structure: optimized geometry

The structure in CIF format:
```
data_Sr2LiIn
_chemical_formula_sum 'Sr4 Li2 In2'
_space_group_name_H-M_alt 'A m m 2'
_space_group_IT_number 38
_cell_length_a 5.262
_cell_length_b 4.195
_cell_length_c 12.578
_cell_angle_alpha 90.00
_cell_angle_beta 90.00
_cell_angle_gamma 90.00
loop_
_space_group_symop_operation_xyz
'x,y,z'
'-x,-y,z'
'-x,y,z'
'x,-y,z'
'x,y+1/2,z+1/2'
'-x,-y+1/2,z+1/2'
'-x,y+1/2,z+1/2'
'x,-y+1/2,z+1/2'
loop_
_atom_site_label
_atom_site_type_symbol
_atom_site_fract_x
_atom_site_fract_y
_atom_site_fract_z
Sr1 Sr 0.000 0.000 0.000
Sr2 Sr 0.500 0.000 0.295
Li1 Li 0.500 0.000 0.594
In1 In 0.000 0.000 0.716
```

Computed properties:
For the formation energy, the calculation gives -0.23 eV/atom. For the density of states at the Fermi level, the calculation gives 0.890 states/eV/atom. Its crystal system is orthorhombic.

Compound: Sr2LiIn
Source: the Alexandria database
Functional: PBEsol
Structure: optimized geometry

The structure in CIF format:
```
data_Sr2LiIn
_chemical_formula_sum 'Sr8 Li4 In4'
_space_group_name_H-M_alt 'I -4 2 d'
_space_group_IT_number 122
_space_group_name_Hall 'I -4 2bw'
_cell_length_a 9.009
_cell_length_b 9.009
_cell_length_c 7.137
_cell_angle_alpha 90.00
_cell_angle_beta 90.00
_cell_angle_gamma 90.00
loop_
_atom_site_label
_atom_site_type_symbol
_atom_site_fract_x
_atom_site_fract_y
_atom_site_fract_z
Sr1 Sr 0.249 0.250 0.125
Li1 Li 0.000 0.000 0.500
In1 In 0.000 0.000 0.000
```

Computed properties:
For the formation energy, the calculation gives 0.05 eV/atom. For the density of states at the Fermi level, the calculation gives 0.962 states/eV/atom. Its crystal system is tetragonal.

Compound: Li2TaIn2
Source: the Alexandria database
Functional: PBEsol
Structure: optimized geometry

The structure in CIF format:
```
data_Li2TaIn2
_chemical_formula_sum 'Li4 Ta2 In4'
_space_group_name_H-M_alt 'I 4/m m m'
_space_group_IT_number 139
_space_group_name_Hall '-I 4 2'
_cell_length_a 3.706
_cell_length_b 3.706
_cell_length_c 13.405
_cell_angle_alpha 90.00
_cell_angle_beta 90.00
_cell_angle_gamma 90.00
loop_
_atom_site_label
_atom_site_type_symbol
_atom_site_fract_x
_atom_site_fract_y
_atom_site_fract_z
Li1 Li 0.000 0.500 0.250
Ta1 Ta 0.000 0.000 0.000
In1 In 0.000 0.000 0.397
```

Computed properties:
For the formation energy, the calculation gives 0.23 eV/atom. For the density of states at the Fermi level, the calculation gives 0.556 states/eV/atom. Its crystal system is tetragonal.

Compound: LiTaIn2
Source: the Alexandria database
Functional: PBEsol
Structure: optimized geometry

The structure in CIF format:
```
data_LiTaIn2
_chemical_formula_sum 'Li2 Ta2 In4'
_space_group_name_H-M_alt 'I 4/m m m'
_space_group_IT_number 139
_space_group_name_Hall '-I 4 2'
_cell_length_a 4.213
_cell_length_b 4.213
_cell_length_c 8.416
_cell_angle_alpha 90.00
_cell_angle_beta 90.00
_cell_angle_gamma 90.00
loop_
_atom_site_label
_atom_site_type_symbol
_atom_site_fract_x
_atom_site_fract_y
_atom_site_fract_z
Li1 Li 0.000 0.000 0.000
Ta1 Ta 0.000 0.000 0.500
In1 In 0.000 0.500 0.250
```

Computed properties:
For the formation energy, the calculation gives 0.21 eV/atom. For the density of states at the Fermi level, the calculation gives 0.932 states/eV/atom. Its crystal system is tetragonal.

Compound: LiInTc4
Source: the Alexandria database
Functional: PBEsol
Structure: optimized geometry

The structure in CIF format:
```
data_LiInTc4
_chemical_formula_sum 'Li4 In4 Tc16'
_space_group_name_H-M_alt 'F -4 3 m'
_space_group_IT_number 216
_space_group_name_Hall 'F -4 2 3'
_cell_length_a 7.238
_cell_length_b 7.238
_cell_length_c 7.238
_cell_angle_alpha 90.00
_cell_angle_beta 90.00
_cell_angle_gamma 90.00
loop_
_atom_site_label
_atom_site_type_symbol
_atom_site_fract_x
_atom_site_fract_y
_atom_site_fract_z
Li1 Li 0.000 0.000 0.000
In1 In 0.250 0.250 0.750
Tc1 Tc 0.125 0.125 0.375
```

Computed properties:
For the formation energy, the calculation gives 0.35 eV/atom. For the density of states at the Fermi level, the calculation gives 0.804 states/eV/atom. Its crystal system is cubic.